First-principles (PBE) data for a relaxed CrRh4Au crystal, as listed in Alexandria.

Geometry as POSCAR:
```
CrRh4Au
1.0
0.000 3.625 3.625
3.625 0.000 3.625
3.625 3.625 0.000
Cr Rh Au
1 4 1
Direct
0.000 0.000 0.000
0.625 0.625 0.125
0.625 0.125 0.625
0.625 0.625 0.625
0.125 0.625 0.625
0.250 0.250 0.250
```

Properties
For the energy of formation, the calculation gives 0.326 eV per atom. For the uncorrected energy, the calculation gives -40.35 eV for the cell shown. As for the space group: No. 216.



First-principles (PBE) data for a relaxed CrRhAu4 crystal, as listed in Alexandria.

Geometry as POSCAR:
```
CrRhAu4
1.0
0.000 3.822 3.822
3.822 0.000 3.822
3.822 3.822 0.000
Cr Rh Au
1 1 4
Direct
0.750 0.750 0.750
0.000 0.000 0.000
0.875 0.375 0.375
0.375 0.375 0.875
0.375 0.875 0.375
0.375 0.375 0.375
```

Properties
For the energy of formation, the calculation gives 0.392 eV per atom. For the uncorrected energy, the calculation gives -27.73 eV for the cell shown. As for the space group: No. 216.